[1]
PSeBr2 | GGA-PBEsol | relaxed

```
4
Lattice="1.747 1.009 8.765 -1.747 1.009 8.765 0.000 -2.017 8.765" Properties=species:S:1:pos:R:3 pbc="T T T"
P 0.000 0.000 0.000
Se 0.000 0.000 18.951
Br 0.000 0.000 6.968
Br 0.000 0.000 12.650
```

Values from the calculation:
**Spin magnetization**: 0.000 μB per atom
**Fermi-level density of states**: 3.03 states/eV/f.u.
**ΔE_f (raw)**: 0.032 eV per atom
**Relative energy among the computed polymorphs**: 0.0 kJ per mole of atoms

***

[2]
Cs3YO3 | GGA-PBEsol | relaxed

```
28
Lattice="8.033 0.000 0.000 0.000 7.496 0.000 -1.006 0.000 12.056" Properties=species:S:1:pos:R:3 pbc="T T T"
Cs 0.327 0.937 1.912
Cs -0.176 2.811 7.940
Cs 1.887 1.172 11.134
Cs 2.390 2.577 5.106
Cs 2.256 5.094 9.769
Cs 2.759 6.150 3.741
Cs 4.268 1.346 8.315
Cs 4.771 2.402 2.287
Cs 4.637 4.920 6.949
Cs 5.140 6.325 0.922
Cs 7.203 4.685 4.116
Cs 6.700 6.559 10.144
Y 1.179 4.435 0.860
Y 0.676 6.810 6.887
Y 6.351 0.687 5.168
Y 5.848 3.061 11.196
O 0.485 0.384 4.996
O -0.018 3.364 11.023
O 1.427 4.851 6.670
O 1.930 6.393 0.642
O 1.645 0.348 8.430
O 2.148 3.400 2.402
O 4.878 4.097 9.654
O 5.381 7.148 3.626
O 5.097 1.103 11.414
O 5.600 2.645 5.386
O 7.045 4.133 1.032
O 6.542 7.112 7.060
```

Values from the calculation:
**Spin magnetization**: 0.000 μB per atom
**Fermi-level density of states**: 0.00 states/eV/f.u.
**ΔE_f (raw)**: -1.967 eV per atom
**Relative energy among the computed polymorphs**: 0.0 kJ per mole of atoms

***

[3]
BeNb2SnSe | GGA-PBEsol | relaxed

```
5
Lattice="4.865 0.000 0.000 0.000 4.865 0.000 0.000 0.000 3.937" Properties=species:S:1:pos:R:3 pbc="T T T"
Be 0.000 0.000 0.000
Nb 0.000 2.433 1.968
Nb 2.433 0.000 1.968
Sn 2.433 2.433 0.000
Se 0.000 0.000 1.968
```

Values from the calculation:
**Spin magnetization**: 0.000 μB per atom
**Fermi-level density of states**: 4.34 states/eV/f.u.
**ΔE_f (raw)**: 0.493 eV per atom

***

[4]
Mg30MnZnO32 | GGA-PBEsol | relaxed

```
64
Lattice="8.425 0.000 0.000 0.000 8.425 0.000 0.000 0.000 8.432" Properties=species:S:1:pos:R:3 pbc="T T T"
Mg 0.000 0.000 0.000
Mg 0.000 0.000 4.216
Mg 0.000 2.109 2.110
Mg 0.000 2.109 6.321
Mg 0.000 4.212 0.000
Mg 0.000 4.212 4.216
Mg 0.000 6.316 2.110
Mg 0.000 6.316 6.321
Mg 2.109 0.000 2.110
Mg 2.109 0.000 6.321
Mg 2.109 2.109 0.000
Mg 2.109 6.315 0.000
Mg 2.120 2.120 4.216
Mg 2.120 4.212 2.120
Mg 2.120 4.212 6.312
Mg 2.120 6.304 4.216
Mg 4.212 0.000 0.000
Mg 4.212 0.000 4.216
Mg 4.212 2.120 2.120
Mg 4.212 2.120 6.312
Mg 4.212 6.304 2.120
Mg 4.212 6.304 6.312
Mg 6.304 2.120 4.216
Mg 6.304 4.212 2.120
Mg 6.304 4.212 6.312
Mg 6.304 6.304 4.216
Mg 6.316 0.000 2.110
Mg 6.316 0.000 6.321
Mg 6.315 2.109 0.000
Mg 6.315 6.315 0.000
Mn 4.212 4.212 4.216
Zn 4.212 4.212 0.000
O 0.000 0.000 2.109
O 0.000 0.000 6.322
O 0.000 2.108 0.000
O 0.000 2.111 4.216
O 0.000 4.212 2.113
O 0.000 4.212 6.319
O 0.000 6.313 4.216
O 0.000 6.317 0.000
O 2.095 4.212 0.000
O 2.108 0.000 0.000
O 2.110 2.110 2.108
O 2.110 2.110 6.324
O 2.110 6.314 2.108
O 2.110 6.314 6.324
O 2.111 0.000 4.216
O 2.115 4.212 4.216
O 4.212 0.000 2.113
O 4.212 0.000 6.319
O 4.212 2.095 0.000
O 4.212 2.115 4.216
O 4.212 4.212 2.152
O 4.212 4.212 6.280
O 4.212 6.309 4.216
O 4.212 6.330 0.000
O 6.313 0.000 4.216
O 6.309 4.212 4.216
O 6.317 0.000 0.000
O 6.314 2.110 2.108
O 6.314 2.110 6.324
O 6.314 6.314 2.108
O 6.314 6.314 6.324
O 6.330 4.212 0.000
```

Values from the calculation:
**Spin magnetization**: 0.016 μB per atom
**Fermi-level density of states**: 11.39 states/eV/f.u.
**ΔE_f (raw)**: -2.627 eV per atom

***

[5]
CsHg2AuCl | GGA-PBEsol | relaxed

```
5
Lattice="6.242 0.000 0.000 0.000 6.242 0.000 0.000 0.000 4.806" Properties=species:S:1:pos:R:3 pbc="T T T"
Cs 0.000 0.000 0.000
Hg 0.000 3.121 2.403
Hg 3.121 0.000 2.403
Au 3.121 3.121 0.000
Cl 3.121 3.121 2.403
```

Values from the calculation:
**Spin magnetization**: 0.000 μB per atom
**Fermi-level density of states**: 0.91 states/eV/f.u.
**ΔE_f (raw)**: -0.040 eV per atom

***

[6]
Zn5P | GGA-PBEsol | relaxed

```
6
Lattice="1.266 -7.214 0.000 1.266 7.214 0.000 0.000 0.000 4.854" Properties=species:S:1:pos:R:3 pbc="T T T"
Zn 0.000 0.000 0.000
Zn 1.266 4.800 2.427
Zn 1.266 2.404 0.000
Zn 1.266 -2.404 0.000
Zn 1.266 -4.800 2.427
P 1.266 0.000 2.427
```

Values from the calculation:
**Spin magnetization**: 0.000 μB per atom
**Fermi-level density of states**: 1.47 states/eV/f.u.
**Energy of formation**: 0.1206 eV/atom